Entry 1:
V4Ir2N: relaxed, PBE.

It has space group I4/mmm (No. 139), with a = 3.905 Å, b = 3.905 Å, c = 12.398 Å, α = 90.00°, β = 90.00° and γ = 90.00°. The asymmetric unit holds V at (0.000, 0.000, 0.169), V at (0.000, 0.500, 0.000), Ir at (0.000, 0.000, 0.357) and N at (0.000, 0.000, 0.000).

The value obtained for the total energy is -9.33 eV per atom. Its energy relative to the lowest polymorph listed for this composition is 192 meV/atom. For the uncorrected formation energy, the calculation gives -0.396 eV/atom.

Entry 2:
LiMg4Ag5: relaxed, PBE.

It has space group P4/mmm (No. 123), with a = 3.319 Å, b = 3.319 Å, c = 16.385 Å, α = 90.00°, β = 90.00° and γ = 90.00°. The asymmetric unit holds Li at (0.000, 0.000, 0.000), Mg at (0.000, 0.000, 0.194), Mg at (0.000, 0.000, 0.398), Ag at (0.500, 0.500, 0.092), Ag at (0.500, 0.500, 0.296) and Ag at (0.500, 0.500, 0.500).

The value obtained for the total energy is -2.49 eV per atom.

Entry 3:
BaLi10Hg3: relaxed, PBE.

It has space group Fm-3m (No. 225), with a = 13.947 Å, b = 13.947 Å, c = 13.947 Å, α = 90.00°, β = 90.00° and γ = 90.00°. The asymmetric unit holds Ba at (0.250, 0.250, 0.250), Li at (0.000, 0.170, 0.170), Li at (0.107, 0.107, 0.393) and Hg at (0.000, 0.000, 0.266).

The value obtained for the total energy is -1.70 eV per atom.

Entry 4:
NaCdCl2F: relaxed, PBE.

It has space group P4/mmm (No. 123), with a = 5.268 Å, b = 5.268 Å, c = 4.345 Å, α = 90.00°, β = 90.00° and γ = 90.00°. The asymmetric unit holds Na at (0.000, 0.000, 0.000), Cd at (0.500, 0.500, 0.500), Cl at (0.000, 0.500, 0.500) and F at (0.500, 0.500, 0.000).

The value obtained for the total energy is -3.14 eV per atom. Its energy relative to the lowest polymorph listed for this composition is 121 meV/atom. For the uncorrected formation energy, the calculation gives -1.583 eV/atom.

Entry 5:
Zr4ZnSb: relaxed, PBE.

It has space group P4/mcc (No. 124), with a = 6.730 Å, b = 6.730 Å, c = 5.741 Å, α = 90.00°, β = 90.00° and γ = 90.00°. The asymmetric unit holds Zr at (0.144, 0.339, 0.000), Zn at (0.000, 0.000, 0.250) and Sb at (0.500, 0.500, 0.250).

The value obtained for the total energy is -6.95 eV per atom. Its energy relative to the lowest polymorph listed for this composition is 0 meV/atom. For the uncorrected formation energy, the calculation gives -0.351 eV/atom.

Entry 6:
Cr2AgAu: relaxed, PBE.

It has space group R-3m (No. 166, hexagonal axes), with a = 2.9709 Å, b = 2.9709 Å, c = 27.0032 Å, α = 90.00°, β = 90.00° and γ = 120.00°. The asymmetric unit holds Cr at (0.0000, 0.0000, 0.2488), Ag at (0.0000, 0.0000, 0.0000) and Au at (0.0000, 0.0000, 0.5000).

The value obtained for the total energy is -5.78 eV per atom. Its energy relative to the lowest polymorph listed for this composition is 389 meV/atom.